i | GGA-PBE RbY3V, relaxed; N(E_F) = 1.3176 states/eV/atom; total magnetization = 2.03 μB/cell
1.0
5.644 0.000 0.000
0.000 5.644 0.000
0.000 0.000 5.644
Y Rb V
3 1 1
direct
0.000 0.500 0.000
0.000 0.000 0.500
0.500 0.000 0.000
0.500 0.500 0.500
0.000 0.000 0.000

=====

ii | GGA-PBE RbY3V, relaxed; N(E_F) = 1.3077 states/eV/atom; total magnetization = 3.22 μB/cell
1.0
5.427 0.000 0.000
0.000 5.427 0.000
0.000 0.000 5.427
Y Rb V
3 1 1
direct
0.000 0.500 0.000
0.000 0.000 0.500
0.500 0.000 0.000
0.000 0.000 0.000
0.500 0.500 0.500

=====

Top of the stability list: i, leading by 1074 meV per atom.

=====

i | GGA-PBE RbYV3, relaxed; N(E_F) = 0.8836 states/eV/atom; total magnetization = 0.00 μB/cell
1.0
-0.662 3.069 -3.455
-1.971 -3.344 -2.593
-4.179 1.091 1.771
Y Rb V
1 1 3
direct
0.500 0.500 0.500
0.000 0.000 0.000
0.000 0.500 0.000
0.000 0.000 0.500
0.500 0.000 0.000

=====

ii | GGA-PBE RbYV3, relaxed; N(E_F) = 2.6667 states/eV/atom; total magnetization = 7.26 μB/cell
1.0
5.293 0.000 0.000
0.000 5.293 0.000
0.000 0.000 5.293
Y Rb V
1 1 3
direct
0.000 0.000 0.000
0.500 0.500 0.500
0.000 0.500 0.000
0.000 0.000 0.500
0.500 0.000 0.000

=====

Top of the stability list: ii, leading by 197 meV per atom.

=====

i | GGA-PBE Rb2YV, relaxed; N(E_F) = 1.9245 states/eV/atom; total magnetization = 5.45 μB/cell
1.0
-4.273 -3.882 -2.481
-4.221 -2.811 3.710
-6.039 1.719 -0.247
Y Rb V
1 2 1
direct
0.500 0.500 0.500
0.250 0.250 0.250
0.750 0.750 0.750
0.000 0.000 0.000

=====

ii | GGA-PBE Rb2YV, relaxed; N(E_F) = 0.8661 states/eV/atom; total magnetization = 12.87 μB/cell
1.0
13.285 0.000 0.000
0.000 13.285 0.000
6.642 6.642 2.850
Y Rb V
2 4 2
direct
0.000 0.000 0.000
0.750 0.250 0.500
0.490 0.125 0.250
0.260 0.625 0.250
0.375 0.510 0.750
0.875 0.740 0.750
0.500 0.500 0.000
0.250 0.750 0.500

=====

Top of the stability list: ii, leading by 185 meV per atom.

=====

i | GGA-PBE RbY2V, relaxed; N(E_F) = 1.0434 states/eV/atom; total magnetization = 3.98 μB/cell
1.0
-2.813 3.320 -6.837
-4.576 -6.560 -1.302
-7.970 0.782 -1.144
Y Rb V
4 2 2
direct
0.374 0.125 0.250
0.376 0.625 0.250
0.375 0.626 0.750
0.875 0.624 0.750
0.000 0.000 0.000
0.750 0.250 0.500
0.500 0.500 0.000
0.250 0.750 0.500

=====

ii | GGA-PBE RbY2V, relaxed; N(E_F) = 1.5869 states/eV/atom; total magnetization = 4.85 μB/cell
1.0
0.000 3.959 3.959
3.959 0.000 3.959
3.959 3.959 0.000
Y Rb V
2 1 1
direct
0.250 0.250 0.250
0.750 0.750 0.750
0.500 0.500 0.500
0.000 0.000 0.000

=====

Top of the stability list: ii, leading by 287 meV per atom.

=====

i | GGA-PBE RbVZn, relaxed; N(E_F) = 1.0456 states/eV/atom; total magnetization = 0.00 μB/cell
1.0
4.480 0.014 -0.005
-0.278 11.816 -0.049
2.246 0.081 3.878
Zn Rb V
2 2 2
direct
0.646 0.005 0.222
0.312 0.986 0.890
0.337 0.312 0.877
0.620 0.679 0.240
0.973 0.916 0.560
0.985 0.075 0.553

=====

ii | GGA-PBE RbVZn, relaxed; N(E_F) = 0.6766 states/eV/atom; total magnetization = 0.00 μB/cell
1.0
-3.723 -0.670 0.852
0.716 -8.237 -9.725
1.050 -2.301 2.774
Zn Rb V
2 2 2
direct
0.654 0.909 0.453
0.346 0.091 0.547
0.307 0.676 0.837
0.693 0.324 0.163
0.143 0.942 0.970
0.857 0.058 0.030

=====

Top of the stability list: ii, leading by 35 meV per atom.

=====

i | GGA-PBE RbVZn, relaxed; N(E_F) = 0.4628 states/eV/atom; total magnetization = 0.19 μB/cell
1.0
12.009 4.255 0.481
-12.336 -1.818 2.659
0.829 -2.577 2.087
Zn Rb V
2 2 2
direct
0.045 0.955 0.878
0.955 0.045 0.378
0.663 0.337 0.390
0.337 0.663 0.890
0.533 0.467 0.377
0.467 0.533 0.877

=====

ii | GGA-PBE RbVZn, relaxed; N(E_F) = 0.7177 states/eV/atom; total magnetization = 0.00 μB/cell
1.0
-2.561 -3.278 0.927
9.599 -4.508 5.736
-1.450 0.594 3.897
Zn Rb V
2 2 2
direct
0.033 0.370 0.759
0.172 0.226 0.230
0.153 0.933 0.452
0.554 0.561 0.117
0.558 0.244 0.605
0.768 0.165 0.885

=====

iii | GGA-PBE RbVZn, relaxed; N(E_F) = 0.6601 states/eV/atom; total magnetization = 0.00 μB/cell
1.0
9.304 0.000 0.000
0.000 3.098 0.000
0.000 0.000 12.147
Zn Rb V
4 4 4
direct
0.770 0.250 0.419
0.730 0.750 0.919
0.230 0.750 0.581
0.270 0.250 0.081
0.075 0.250 0.825
0.425 0.750 0.325
0.925 0.750 0.175
0.575 0.250 0.675
0.069 0.250 0.458
0.431 0.750 0.958
0.931 0.750 0.542
0.569 0.250 0.042

=====

Top of the stability list: i, leading by 103 meV per atom.